# 1
The following is a PBE calculation of Pu2ZnGa6Au after structural relaxation, from the Alexandria database.

abc: 5.4673 5.4673 51.9670
angles: 90.00 90.00 120.00
Space group R-3m (No. 166, hexagonal axes)
Unique sites:
1 Pu 0.0000 0.0000 0.0960 [6 per cell]
2 Pu 0.0000 0.0000 0.3218 [6 per cell]
3 Zn 0.0000 0.0000 0.0000 [3 per cell]
4 Zn 0.0000 0.0000 0.5000 [3 per cell]
5 Ga 0.0009 0.5005 0.7090 [18 per cell]
6 Ga 0.0109 0.5055 0.8730 [18 per cell]
7 Au 0.0000 0.0000 0.4177 [6 per cell]

Calculated values
Calculated formation energy in meV per atom: -140

# 2
The following is a PBE calculation of PuZnGaAu after structural relaxation, from the Alexandria database.

abc: 4.8625 4.8625 6.8079
angles: 90.00 90.00 90.00
Space group I-4m2 (No. 119)
Unique sites:
1 Pu 0.0000 0.0000 0.0000 [2 per cell]
2 Zn 0.0000 0.5000 0.7500 [2 per cell]
3 Ga 0.0000 0.0000 0.5000 [2 per cell]
4 Au 0.0000 0.5000 0.2500 [2 per cell]

Calculated values
Relative energy among the computed polymorphs in meV/atom: 11.7
Calculated formation energy in meV per atom: -254

# 3
The following is a PBE calculation of PuZrGaAu after structural relaxation, from the Alexandria database.

abc: 7.0461 7.0461 7.0461
angles: 90.00 90.00 90.00
Space group F-43m (No. 216)
Unique sites:
1 Pu 0.0000 0.0000 0.0000 [4 per cell]
2 Zr 0.0000 0.0000 0.5000 [4 per cell]
3 Ga 0.2500 0.2500 0.2500 [4 per cell]
4 Au 0.2500 0.2500 0.7500 [4 per cell]

Calculated values
Calculated formation energy in meV per atom: -304

# 4
The following is a PBE calculation of Rb2Ga2Au after structural relaxation, from the Alexandria database.

abc: 3.9327 3.9327 21.8016
angles: 90.00 90.00 90.00
Space group I4/mmm (No. 139)
Unique sites:
1 Rb 0.0000 0.0000 0.0986 [4 per cell]
2 Ga 0.0000 0.5000 0.2500 [4 per cell]
3 Au 0.0000 0.0000 0.5000 [2 per cell]

Calculated values
Relative energy among the computed polymorphs in meV/atom: 0.0
Calculated formation energy in meV per atom: -81

# 5
The following is a PBE calculation of RbGaAu2 after structural relaxation, from the Alexandria database.

abc: 5.2936 12.0349 6.8514
angles: 90.00 90.02 90.00
Space group P2_1/c (No. 14)
Unique sites:
1 Rb 0.1931 0.1188 0.0022 [4 per cell]
2 Ga 0.1448 0.6099 0.9988 [4 per cell]
3 Au 0.3326 0.7504 0.2482 [4 per cell]
4 Au 0.3424 0.0974 0.5022 [4 per cell]

Calculated values
Calculated formation energy in meV per atom: -297

# 6
The following is a PBE calculation of Rb2GaAu6 after structural relaxation, from the Alexandria database.

abc: 7.1015 7.1015 6.5186
angles: 90.00 90.00 120.00
Space group P-3m1 (No. 164)
Unique sites:
1 Rb 0.3333 0.6667 0.3783 [2 per cell]
2 Ga 0.0000 0.0000 0.0000 [1 per cell]
3 Au 0.2044 0.4087 0.8977 [6 per cell]

Calculated values
Calculated formation energy in meV per atom: -186

Number 1: total magnetic moment 1.14 μB/atom. Number 2: total magnetic moment 1.35 μB/atom. Number 3: total magnetic moment 1.64 μB/atom. Number 4: total magnetic moment 0.00 μB/atom. Number 5: total magnetic moment 0.00 μB/atom. Number 6: total magnetic moment 0.00 μB/atom.